Model a:
{"formula": "La2TeAu2", "functional": "PBE", "state": "relaxed", "lattice_angstrom": [[8.468, 0.000, 0.000], [0.000, 8.468, 0.000], [0.000, 0.000, 4.139]], "species": ["Au", "Te", "La", "Au", "Au", "La", "Au", "Te", "La", "La"], "fractional_positions": [[0.625, 0.875, 0.500], [0.000, 0.000, 0.000], [0.669, 0.169, 0.000], [0.875, 0.375, 0.500], [0.125, 0.625, 0.500], [0.831, 0.669, 0.000], [0.375, 0.125, 0.500], [0.500, 0.500, 0.000], [0.331, 0.831, 0.000], [0.169, 0.331, 0.000]], "sg": "P4/mbm (127)"}

Model b:
{"formula": "La2TeAu2", "functional": "PBE", "state": "relaxed", "lattice_angstrom": [[4.100, 0.000, 0.000], [0.000, 4.100, 0.000], [2.050, 2.050, 8.520]], "species": ["Au", "La", "Te", "Au", "La"], "fractional_positions": [[0.250, 0.750, 0.500], [0.386, 0.386, 0.228], [0.000, 0.000, 0.000], [0.750, 0.250, 0.500], [0.614, 0.614, 0.772]], "sg": "I4/mmm (139)"}

Result of the stability comparison: model a is the most stable of them.

Model a:
{"formula": "LaTeAu3", "functional": "PBE", "state": "relaxed", "lattice_angstrom": [[-2.418, 4.405, 1.407], [-4.439, -1.765, -2.102], [-1.298, -2.171, 4.565]], "species": ["La", "Au", "Au", "Au", "Te"], "fractional_positions": [[0.500, 0.500, 0.500], [0.000, 0.500, 0.000], [0.000, 0.000, 0.500], [0.500, 0.000, 0.000], [0.000, 0.000, 0.000]], "sg": "Pm-3m (221)"}

Model b:
{"formula": "LaTeAu3", "functional": "PBE", "state": "relaxed", "lattice_angstrom": [[5.597, 0.000, 0.000], [0.000, 5.597, 0.000], [0.000, 0.000, 5.597]], "species": ["Au", "Au", "Te", "Au", "La"], "fractional_positions": [[0.000, 0.500, 0.000], [0.000, 0.000, 0.500], [0.500, 0.500, 0.500], [0.500, 0.000, 0.000], [0.000, 0.000, 0.000]], "sg": "Pm-3m (221)"}

Result of the stability comparison: model a is the most stable of them.

Model a:
{"formula": "La2Te4Au", "functional": "PBE", "state": "relaxed", "lattice_angstrom": [[7.920, 0.000, 0.151], [0.000, 6.352, 0.000], [-2.743, 0.000, 8.660]], "species": ["La", "Te", "La", "La", "Te", "Au", "Te", "Au", "Te", "La", "Te", "Te", "Te", "Te"], "fractional_positions": [[0.745, 0.750, 0.563], [0.924, 0.250, 0.133], [0.777, 0.750, 0.068], [0.223, 0.250, 0.932], [0.919, 0.250, 0.581], [0.795, 0.250, 0.827], [0.081, 0.750, 0.419], [0.205, 0.750, 0.173], [0.517, 0.494, 0.248], [0.255, 0.250, 0.437], [0.483, 0.506, 0.752], [0.483, 0.994, 0.752], [0.076, 0.750, 0.867], [0.517, 0.006, 0.248]], "sg": "P2_1/m (11)"}

Model b:
{"formula": "La2Te4Au", "functional": "PBE", "state": "relaxed", "lattice_angstrom": [[5.300, 0.000, 0.000], [0.000, 5.300, 0.000], [2.650, 2.650, 8.519]], "species": ["Te", "La", "Au", "Te", "Te", "Te", "La"], "fractional_positions": [[0.185, 0.185, 0.630], [0.632, 0.632, 0.737], [0.000, 0.000, 0.000], [0.000, 0.500, 0.000], [0.500, 0.000, 0.000], [0.815, 0.815, 0.370], [0.368, 0.368, 0.263]], "sg": "I4/mmm (139)"}

Result of the stability comparison: model a is the most stable of them.

Model a:
{"formula": "La2ThAu", "functional": "PBE", "state": "relaxed", "lattice_angstrom": [[-1.643, 3.034, 1.532], [-3.062, -0.411, 2.169], [4.499, -0.084, 9.573]], "species": ["Au", "Th", "La", "La"], "fractional_positions": [[0.667, 0.667, 0.999], [0.500, 0.500, 0.500], [0.072, 0.072, 0.784], [0.261, 0.261, 0.217]], "sg": "Cm (8)"}

Model b:
{"formula": "La2ThAu", "functional": "PBE", "state": "relaxed", "lattice_angstrom": [[3.738, 0.000, 0.000], [0.000, 3.738, 0.000], [0.000, 0.000, 8.639]], "species": ["La", "La", "Au", "Th"], "fractional_positions": [[0.000, 0.000, 0.221], [0.000, 0.000, 0.779], [0.500, 0.500, 0.000], [0.500, 0.500, 0.500]], "sg": "P4/mmm (123)"}

Result of the stability comparison: model b is the most stable of them.

Model a:
{"formula": "LaThAu", "functional": "PBE", "state": "relaxed", "lattice_angstrom": [[4.404, 0.000, 0.000], [0.000, 4.985, 0.000], [0.000, -2.492, 4.317]], "species": ["Au", "Th", "La"], "fractional_positions": [[0.167, 0.333, 0.667], [0.166, 0.000, 0.000], [0.666, 0.667, 0.333]], "sg": "P3m1 (156)"}

Model b:
{"formula": "LaThAu", "functional": "PBE", "state": "relaxed", "lattice_angstrom": [[-3.217, 1.136, 1.668], [0.197, -2.947, 2.387], [4.771, 4.329, 1.930]], "species": ["Th", "La", "Au"], "fractional_positions": [[0.309, 0.309, 0.618], [0.010, 0.010, 0.021], [0.681, 0.681, 0.362]], "sg": "I4mm (107)"}

Result of the stability comparison: model b is the most stable of them.

Model a:
{"formula": "LaTi2Au2", "functional": "PBE", "state": "relaxed", "lattice_angstrom": [[-2.099, 3.434, 0.853], [-0.986, 0.385, -3.976], [-7.007, -1.680, -0.554]], "species": ["La", "Ti", "Au", "Au", "Ti"], "fractional_positions": [[0.000, 0.000, 0.000], [0.750, 0.250, 0.500], [0.609, 0.609, 0.782], [0.391, 0.391, 0.218], [0.250, 0.750, 0.500]], "sg": "I4/mmm (139)"}

Model b:
{"formula": "LaTi2Au2", "functional": "PBE", "state": "relaxed", "lattice_angstrom": [[-4.676, 5.001, 4.174], [-3.825, -6.267, 3.224], [2.033, -0.043, 2.329]], "species": ["Ti", "La", "Au", "Ti", "Ti", "Au", "La", "Au", "Ti", "Au"], "fractional_positions": [[0.156, 0.344, 0.000], [0.500, 0.500, 0.000], [0.637, 0.863, 0.500], [0.656, 0.156, 0.000], [0.844, 0.656, 0.000], [0.863, 0.363, 0.500], [0.000, 0.000, 0.000], [0.137, 0.637, 0.500], [0.344, 0.844, 0.000], [0.363, 0.137, 0.500]], "sg": "P4/mbm (127)"}

Model c:
{"formula": "LaTi2Au2", "functional": "PBE", "state": "relaxed", "lattice_angstrom": [[-4.923, -0.070, -6.398], [-2.001, -7.651, 1.624], [-2.405, 1.019, 1.839]], "species": ["Au", "Ti", "Ti", "Au", "Ti", "Ti", "Au", "Au", "La", "La"], "fractional_positions": [[0.126, 0.374, 0.000], [0.836, 0.336, 0.500], [0.664, 0.836, 0.500], [0.874, 0.626, 0.000], [0.164, 0.664, 0.500], [0.336, 0.164, 0.500], [0.626, 0.126, 0.000], [0.374, 0.874, 0.000], [0.500, 0.500, 0.000], [0.000, 0.000, 0.000]], "sg": "P4/mbm (127)"}

Result of the stability comparison: model a is the most stable of them.